1.
This record from Alexandria describes a relaxed AlHg4Sb crystal. The functional is GGA-PBE.

Structure (POSCAR):
```
AlHg4Sb
1.0
0.0000 4.2700 4.2700
4.2700 0.0000 4.2700
4.2700 4.2700 0.0000
Al Hg Sb
1 4 1
direct
0.0000 0.0000 0.0000
0.8751 0.3750 0.3750
0.3750 0.3750 0.3750
0.3750 0.3750 0.8751
0.3750 0.8751 0.3750
0.7500 0.7500 0.7500
```

Computed properties:
**Formation energy from raw total energies**: 0.353 eV/atom
**Uncorrected energy**: -1.159 eV/atom

2.
This record from Alexandria describes a relaxed Al2HgSb crystal. The functional is GGA-PBE.

Structure (POSCAR):
```
Al2HgSb
1.0
10.0012 -0.0305 -0.0179
9.4869 3.1661 -0.0179
9.4869 1.5264 2.7739
Al Sb Hg
2 1 1
direct
0.2559 0.2559 0.2559
0.9944 0.9944 0.9944
0.7395 0.7395 0.7395
0.5102 0.5102 0.5102
```

Computed properties:
**Formation energy from raw total energies**: 0.192 eV/atom
**Polymorph energy (0 for the lowest one)**: 71 meV per atom
**Uncorrected energy**: -2.786 eV/atom

3.
This record from Alexandria describes a relaxed Al2HgSb crystal. The functional is GGA-PBE.

Structure (POSCAR):
```
Al2HgSb
1.0
3.2214 0.0000 0.0000
0.0000 3.2214 0.0000
0.0000 0.0000 8.5177
Sb Al Hg
1 2 1
direct
0.5000 0.5000 0.7809
0.5000 0.5000 0.2231
0.0000 0.0000 0.0339
0.0000 0.0000 0.4621
```

Computed properties:
**Formation energy from raw total energies**: 0.168 eV/atom
**Polymorph energy (0 for the lowest one)**: 47 meV per atom
**Uncorrected energy**: -2.809 eV/atom

4.
This record from Alexandria describes a relaxed Al2HgSb crystal. The functional is GGA-PBE.

Structure (POSCAR):
```
Al2HgSb
1.0
-3.5220 -5.4655 -0.0793
-0.2090 -6.4502 0.7962
-1.3413 -0.9252 4.0352
Al Sb Hg
2 1 1
direct
0.9906 0.9906 0.0099
0.6966 0.6966 0.8036
0.2900 0.2900 0.2091
0.5228 0.5228 0.4774
```

Computed properties:
**Formation energy from raw total energies**: 0.149 eV/atom
**Polymorph energy (0 for the lowest one)**: 29 meV per atom
**Uncorrected energy**: -2.828 eV/atom

5.
This record from Alexandria describes a relaxed Al2HgSb crystal. The functional is GGA-PBE.

Structure (POSCAR):
```
Al2HgSb
1.0
-1.2977 5.0709 0.1924
-4.3206 -0.1345 -2.9579
1.3142 -2.4607 4.4332
Hg Sb Al
1 1 2
direct
0.7500 0.2500 0.5000
0.2500 0.7500 0.5000
0.5110 0.5110 0.0000
0.9890 0.9890 0.0000
```

Computed properties:
**Formation energy from raw total energies**: 0.210 eV/atom
**Polymorph energy (0 for the lowest one)**: 89 meV per atom
**Uncorrected energy**: -2.767 eV/atom

6.
This record from Alexandria describes a relaxed Al2HgSb crystal. The functional is GGA-PBE.

Structure (POSCAR):
```
Al2HgSb
1.0
-1.0975 -2.2414 -2.2538
2.9198 0.5489 -1.5754
3.2979 -5.7470 4.1096
Al Hg Sb
2 1 1
direct
0.0000 0.0000 0.4937
0.0000 0.0000 0.0063
0.5000 0.5000 0.2500
0.5000 0.5000 0.7500
```

Computed properties:
**Formation energy from raw total energies**: 0.213 eV/atom
**Polymorph energy (0 for the lowest one)**: 93 meV per atom
**Uncorrected energy**: -2.764 eV/atom